Below is an optimized crystal structure of RbTaN2F, with properties calculated at the PBE level.

abc: 4.092 4.092 4.443
angles: 90.00 90.00 90.00
Sites, in units of the cell vectors:
Rb1 0.000 0.000 0.000
Ta1 0.500 0.500 0.500
N1 0.000 0.500 0.500
N2 0.500 0.000 0.500
F1 0.500 0.500 0.000

Summary:
ΔE to the lowest computed polymorph	0.0	kJ/mol of formula units
size of the total moment	0.408	Bohr magnetons per cell
volume	14.9	A^3/atom
density of states at the Fermi level	1.10	states/eV per cell

=====

Below is an optimized crystal structure of RbTaNF2, with properties calculated at the PBE level.

abc: 4.394 4.394 4.021
angles: 90.00 90.00 90.00
Sites, in units of the cell vectors:
Rb1 0.000 0.000 0.000
Ta1 0.500 0.500 0.500
N1 0.500 0.500 0.000
F1 0.000 0.500 0.500
F2 0.500 0.000 0.500

Summary:
ΔE to the lowest computed polymorph	0.0	kJ/mol of formula units
size of the total moment	0.991	Bohr magnetons per cell
volume	15.5	A^3/atom
density of states at the Fermi level	0.80	states/eV per cell

=====

Below is an optimized crystal structure of RbTaN2F, with properties calculated at the PBE level.

abc: 4.353 4.353 4.405
angles: 90.00 90.00 90.00
Sites, in units of the cell vectors:
Rb1 0.000 0.000 0.000
Ta1 0.500 0.500 0.500
N1 0.000 0.500 0.000
N2 0.500 0.000 0.000
F1 0.000 0.000 0.500

Summary:
ΔE to the lowest computed polymorph	1556.9	kJ/mol of formula units
size of the total moment	0.991	Bohr magnetons per cell
volume	16.7	A^3/atom
density of states at the Fermi level	3.66	states/eV per cell

=====

Below is an optimized crystal structure of RbTcN2F, with properties calculated at the PBE level.

abc: 4.475 4.475 4.678
angles: 90.00 90.00 90.00
Sites, in units of the cell vectors:
Rb1 0.000 0.000 0.000
Tc1 0.500 0.500 0.500
N1 0.000 0.500 0.000
N2 0.500 0.000 0.000
F1 0.000 0.000 0.500

Summary:
ΔE to the lowest computed polymorph	1320.6	kJ/mol of formula units
size of the total moment	3.001	Bohr magnetons per cell
volume	18.7	A^3/atom
density of states at the Fermi level	3.49	states/eV per cell

=====

Below is an optimized crystal structure of RbTcN2F, with properties calculated at the PBE level.

abc: 3.899 3.899 4.655
angles: 90.00 90.00 90.00
Sites, in units of the cell vectors:
Rb1 0.000 0.000 0.000
Tc1 0.500 0.500 0.500
N1 0.000 0.500 0.500
N2 0.500 0.000 0.500
F1 0.500 0.500 0.000

Summary:
ΔE to the lowest computed polymorph	0.0	kJ/mol of formula units
size of the total moment	0.004	Bohr magnetons per cell
volume	14.1	A^3/atom
density of states at the Fermi level	3.42	states/eV per cell

=====

Below is an optimized crystal structure of RbTeN2F, with properties calculated at the PBE level.

abc: 5.675 5.675 4.978
angles: 90.00 90.00 90.00
Sites, in units of the cell vectors:
Rb1 0.000 0.000 0.000
Te1 0.500 0.500 0.500
N1 0.000 0.500 0.000
N2 0.500 0.000 0.000
F1 0.000 0.000 0.500

Summary:
ΔE to the lowest computed polymorph	714.7	kJ/mol of formula units
size of the total moment	4.014	Bohr magnetons per cell
volume	32.1	A^3/atom
density of states at the Fermi level	2.83	states/eV per cell

=====

Below is an optimized crystal structure of RbTeN2F, with properties calculated at the PBE level.

abc: 4.057 4.057 4.989
angles: 90.00 90.00 90.00
Sites, in units of the cell vectors:
Rb1 0.000 0.000 0.000
Te1 0.500 0.500 0.500
N1 0.000 0.500 0.500
N2 0.500 0.000 0.500
F1 0.500 0.500 0.000

Summary:
ΔE to the lowest computed polymorph	0.0	kJ/mol of formula units
size of the total moment	0.000	Bohr magnetons per cell
volume	16.4	A^3/atom
density of states at the Fermi level	1.03	states/eV per cell

=====

Below is an optimized crystal structure of RbTeN2F, with properties calculated at the PBE level.

abc: 5.550 5.550 7.313
angles: 90.00 90.00 90.00
Sites, in units of the cell vectors:
Rb1 0.000 0.000 0.000
Te1 0.000 0.000 0.500
N1 0.000 0.500 0.000
N2 0.500 0.000 0.000
F1 0.500 0.500 0.500

Summary:
ΔE to the lowest computed polymorph	871.9	kJ/mol of formula units
size of the total moment	8.009	Bohr magnetons per cell
volume	45.0	A^3/atom
density of states at the Fermi level	7.30	states/eV per cell

=====

Below is an optimized crystal structure of RbTe2NF, with properties calculated at the PBE level.

abc: 4.854 4.854 6.042
angles: 90.00 90.00 90.00
Sites, in units of the cell vectors:
Rb1 0.000 0.000 0.000
Te1 0.000 0.500 0.500
Te2 0.500 0.000 0.500
N1 0.500 0.500 0.000
F1 0.500 0.500 0.500

Summary:
ΔE to the lowest computed polymorph	0.0	kJ/mol of formula units
size of the total moment	2.988	Bohr magnetons per cell
volume	28.5	A^3/atom
density of states at the Fermi level	2.28	states/eV per cell

=====

Below is an optimized crystal structure of RbTe2NF, with properties calculated at the PBE level.

abc: 6.495 6.495 4.234
angles: 90.00 90.00 90.00
Sites, in units of the cell vectors:
Rb1 0.000 0.000 0.000
Te1 0.000 0.500 0.000
Te2 0.500 0.000 0.000
N1 0.000 0.000 0.500
F1 0.500 0.500 0.500

Summary:
ΔE to the lowest computed polymorph	655.4	kJ/mol of formula units
size of the total moment	0.002	Bohr magnetons per cell
volume	35.7	A^3/atom
density of states at the Fermi level	11.70	states/eV per cell

=====

Below is an optimized crystal structure of RbTeN2F, with properties calculated at the PBE level.

abc: 5.472 5.472 4.371
angles: 90.00 90.00 90.00
Sites, in units of the cell vectors:
Rb1 0.000 0.000 0.000
Te1 0.500 0.500 0.000
N1 0.000 0.500 0.500
N2 0.500 0.000 0.500
F1 0.500 0.500 0.500

Summary:
ΔE to the lowest computed polymorph	565.5	kJ/mol of formula units
size of the total moment	5.892	Bohr magnetons per cell
volume	26.2	A^3/atom
density of states at the Fermi level	2.59	states/eV per cell

=====

Below is an optimized crystal structure of Rb2TeNF6, with properties calculated at the PBE level.

abc: 6.725 6.725 6.725
angles: 120.09 120.09 89.84
Sites, in units of the cell vectors:
Rb1 0.250 0.750 0.500
Rb2 0.750 0.250 0.500
Te1 0.000 0.000 0.000
N1 0.500 0.500 0.000
F1 0.219 0.219 0.000
F2 0.220 0.220 0.439
F3 0.220 0.780 0.000
F4 0.780 0.220 0.000
F5 0.780 0.780 0.561
F6 0.781 0.781 0.000

Summary:
size of the total moment	3.000	Bohr magnetons per cell
volume	21.5	A^3/atom
total energy	-41.30	eV per cell
density of states at the Fermi level	0.00	states/eV per cell

=====

Below is an optimized crystal structure of RbTlN2F, with properties calculated at the PBE level.

abc: 5.493 5.493 5.098
angles: 90.00 90.00 90.00
Sites, in units of the cell vectors:
Rb1 0.000 0.000 0.000
Tl1 0.500 0.500 0.500
N1 0.000 0.500 0.000
N2 0.500 0.000 0.000
F1 0.000 0.000 0.500

Summary:
ΔE to the lowest computed polymorph	280.0	kJ/mol of formula units
size of the total moment	5.000	Bohr magnetons per cell
volume	30.8	A^3/atom
density of states at the Fermi level	1.90	states/eV per cell

=====

Below is an optimized crystal structure of RbTlN2F, with properties calculated at the PBE level.

abc: 4.483 4.483 4.958
angles: 90.00 90.00 90.00
Sites, in units of the cell vectors:
Rb1 0.000 0.000 0.000
Tl1 0.500 0.500 0.500
N1 0.000 0.500 0.500
N2 0.500 0.000 0.500
F1 0.500 0.500 0.000

Summary:
ΔE to the lowest computed polymorph	0.0	kJ/mol of formula units
size of the total moment	2.943	Bohr magnetons per cell
volume	19.9	A^3/atom
density of states at the Fermi level	2.29	states/eV per cell